Compound: ZrHgBi
Source: Alexandria via LeMat-Bulk
Functional: PBE
Structure: relaxed

Computed properties:
For the final energy, the calculation gives -26.2 eV per cell. The calculation puts the formation energy at -0.127 eV/atom. The value obtained for the spin magnetization is 0.0 μB/f.u.

Cell lengths 3.271, 5.966, 8.225 Å; angles 79.97, 81.10, 75.59 degrees
Space group P1 (No. 1)
Inequivalent atoms, fractional coordinates:
Zr 0.000 0.000 0.000 [1 per cell]
Zr 0.026 0.560 0.403 [1 per cell]
Hg 0.498 0.307 0.704 [1 per cell]
Hg 0.751 0.791 0.707 [1 per cell]
Bi 0.339 0.030 0.338 [1 per cell]
Bi 0.674 0.521 0.076 [1 per cell]